First-principles (PBE-GGA) data for crystalline LaAlSi at its relaxed geometry, as listed in the Alexandria database.

a = 4.7356 Å, b = 5.1035 Å, c = 11.1103 Å
α = 90.00°, β = 90.00°, γ = 90.00°
Closest atoms and distances in Å follow each position.
Space group Fmm2 (No. 42)
Unique sites:
La: 0.0000 0.0000 0.0000  5 Si 3.22-3.38, 5 Al 3.25-3.44, 4 La 3.48
Al: 0.0000 0.0000 0.7071  4 Si 2.60-2.77
Si: 0.0000 0.0000 0.3040  4 Al 2.60-2.77

Total moment: 0.0 μB/cell
Calculated volume: 268.5 Å³ per cell
E_form (uncorrected): -282 meV/atom

First-principles (PBE-GGA) data for crystalline La2Al3Si4 at its relaxed geometry, as listed in the Alexandria database.

a = 6.0599 Å, b = 15.0197 Å, c = 7.8223 Å
α = 90.00°, β = 90.00°, γ = 90.00°
Closest atoms and distances in Å follow each position.
Space group Cmce (No. 64)
Unique sites:
La: 0.0000 0.1119 0.0866  8 Si 3.09-3.25, 4 Al 3.24-3.43
Al: 0.0000 0.0000 0.5000  6 Si 2.59-2.84
Al: 0.2500 0.2173 0.7500  3 Si 2.49-2.62
Si: 0.0000 0.1875 0.4537  5 Al 2.62-2.84
Si: 0.2500 0.0514 0.7500  3 Al 2.49-2.59

Total moment: 0.0 μB/cell
Calculated volume: 712.0 Å³ per cell
E_form (uncorrected): -427 meV/atom

First-principles (PBE-GGA) data for crystalline LaAl2Si at its relaxed geometry, as listed in the Alexandria database.

a = 4.0057 Å, b = 4.0057 Å, c = 5.6164 Å
α = 90.00°, β = 90.00°, γ = 90.00°
Closest atoms and distances in Å follow each position.
Space group P4mm (No. 99)
Unique sites:
La: 0.0000 0.0000 0.0000  4 Si 3.09, 4 Al 3.35
Al: 0.0000 0.5000 0.5225  2 Si 2.63, 4 Al 2.83
Si: 0.5000 0.5000 0.2195  4 Al 2.63

Total moment: 0.0 μB/cell
Calculated volume: 90.1 Å³ per cell
E_form (uncorrected): -395 meV/atom

First-principles (PBE-GGA) data for crystalline La3Al3Si at its relaxed geometry, as listed in the Alexandria database.

a = 4.2817 Å, b = 4.4976 Å, c = 19.4161 Å
α = 90.00°, β = 90.00°, γ = 90.00°
Closest atoms and distances in Å follow each position.
Space group Imm2 (No. 44)
Unique sites:
La: 0.0000 0.0000 0.0000  2 Si 3.21, 5 Al 3.23-3.51
La: 0.0000 0.0000 0.3684  7 Al 3.25-3.46
La: 0.0000 0.5000 0.6789  4 Si 3.32, 8 Al 3.36-3.53
Al: 0.0000 0.0000 0.5464  2 Si 2.55
Al: 0.0000 0.0000 0.8194  2 Al 2.58
Al: 0.0000 0.5000 0.2456  1 Si 2.48, 2 Al 2.58
Si: 0.0000 0.5000 0.1178  3 Al 2.48-2.55

Total moment: 0.0 μB/cell
Calculated volume: 373.9 Å³ per cell
E_form (uncorrected): -513 meV/atom

First-principles (PBE-GGA) data for crystalline LaAl2Si at its relaxed geometry, as listed in the Alexandria database.

a = 4.9322 Å, b = 4.9413 Å, c = 6.9239 Å
α = 90.00°, β = 90.00°, γ = 90.00°
Closest atoms and distances in Å follow each position.
Space group Cmmm (No. 65)
Unique sites:
La: 0.0000 0.0000 0.0000  8 Al 3.29, 2 Si 3.46, 4 La 3.49
Al: 0.0000 0.5000 0.3138  1 Al 2.58, 4 Si 2.78-2.79
Si: 0.0000 0.0000 0.5000  8 Al 2.78-2.79

Total moment: 0.0 μB/cell
Calculated volume: 168.7 Å³ per cell
E_form (uncorrected): -168 meV/atom

First-principles (PBE-GGA) data for crystalline La2Al3Si at its relaxed geometry, as listed in the Alexandria database.

a = 4.3581 Å, b = 4.4102 Å, c = 7.5458 Å
α = 90.00°, β = 90.00°, γ = 90.00°
Closest atoms and distances in Å follow each position.
Space group Pmm2 (No. 25)
Unique sites:
La: 0.0000 0.0000 0.0000  8 Al 3.29-3.38, 4 Si 3.32
La: 0.5000 0.0000 0.4839  2 Si 3.30, 10 Al 3.33-3.42
Al: 0.0000 0.5000 0.3233  2 Si 2.51, 1 Al 2.55
Al: 0.0000 0.5000 0.6612  3 Al 2.52-2.55
Al: 0.5000 0.5000 0.8300  1 Si 2.47, 2 Al 2.52
Si: 0.5000 0.5000 0.1579  3 Al 2.47-2.51

Total moment: 0.0 μB/cell
Calculated volume: 145.0 Å³ per cell
E_form (uncorrected): -579 meV/atom

First-principles (PBE-GGA) data for crystalline LaAl3Si at its relaxed geometry, as listed in the Alexandria database.

a = 5.6108 Å, b = 5.6108 Å, c = 5.6108 Å
α = 90.00°, β = 90.00°, γ = 90.00°
Closest atoms and distances in Å follow each position.
Space group Pm-3m (No. 221)
Unique sites:
La: 0.0000 0.0000 0.0000  6 Al 2.81
Al: 0.0000 0.0000 0.5000  2 La 2.81
Si: 0.5000 0.5000 0.5000  12 Al 3.97

Total moment: 0.0 μB/cell
Calculated volume: 176.6 Å³ per cell
E_form (uncorrected): 1532 meV/atom
E above lowest polymorph: 1910 meV per atom

First-principles (PBE-GGA) data for crystalline LaAl3Si at its relaxed geometry, as listed in the Alexandria database.

a = 6.0148 Å, b = 6.0110 Å, c = 6.3496 Å
α = 90.00°, β = 118.02°, γ = 90.00°
Closest atoms and distances in Å follow each position.
Space group Cm (No. 8)
Unique sites:
La: 0.0000 0.0000 0.0000  4 Si 3.23-3.25, 12 Al 3.28-3.57
Al: 0.3816 0.0000 0.7634  1 Si 2.52, 4 Al 2.63
Al: 0.4947 0.2500 0.4882  2 Si 2.62-2.63, 2 Al 2.63
Si: 0.1074 0.5000 0.2137  5 Al 2.52-2.63

Total moment: 0.0 μB/cell
Calculated volume: 202.7 Å³ per cell
E_form (uncorrected): -378 meV/atom
E above lowest polymorph: 0 meV per atom

First-principles (PBE-GGA) data for crystalline La2AlSi2 at its relaxed geometry, as listed in the Alexandria database.

a = 3.9052 Å, b = 14.0986 Å, c = 4.3841 Å
α = 90.00°, β = 90.00°, γ = 90.00°
Closest atoms and distances in Å follow each position.
Space group Cmmm (No. 65)
Unique sites:
La: 0.0000 0.1297 0.0000  6 Si 3.10-3.25, 4 Al 3.46
Al: 0.0000 0.5000 0.5000  2 Si 2.82
Si: 0.0000 0.3001 0.5000  2 Si 2.41

Total moment: 0.0 μB/cell
Calculated volume: 241.4 Å³ per cell
E_form (uncorrected): -621 meV/atom

First-principles (PBE-GGA) data for crystalline LaAl2Si at its relaxed geometry, as listed in the Alexandria database.

a = 4.3306 Å, b = 4.3306 Å, c = 4.5303 Å
α = 90.00°, β = 90.00°, γ = 90.00°
Closest atoms and distances in Å follow each position.
Space group P4/mmm (No. 123)
Unique sites:
La: 0.0000 0.0000 0.0000  4 Si 3.06, 8 Al 3.13
Al: 0.0000 0.5000 0.5000  4 Al 3.06, 4 La 3.13, 4 Si 3.13
Si: 0.5000 0.5000 0.0000  4 La 3.06, 8 Al 3.13

Total moment: 0.0 μB/cell
Calculated volume: 85.0 Å³ per cell
E_form (uncorrected): -293 meV/atom

First-principles (PBE-GGA) data for crystalline LaAl2Si at its relaxed geometry, as listed in the Alexandria database.

a = 8.2638 Å, b = 4.0489 Å, c = 5.6706 Å
α = 90.00°, β = 110.90°, γ = 90.00°
Closest atoms and distances in Å follow each position.
Space group Cm (No. 8)
Unique sites:
La: 0.0000 0.0000 0.0000  4 Si 3.16-3.43, 8 Al 3.19-3.52
Al: 0.0095 0.5000 0.5124  3 Si 2.62-2.66, 3 Al 2.64-2.71
Al: 0.2766 0.5000 0.3615  3 Al 2.64-2.71, 2 Si 2.65
Si: 0.2330 0.0000 0.6356  5 Al 2.62-2.66

Total moment: 0.0 μB/cell
Calculated volume: 177.3 Å³ per cell
E_form (uncorrected): -372 meV/atom

First-principles (PBE-GGA) data for crystalline LaAlSi4 at its relaxed geometry, as listed in the Alexandria database.

a = 7.5813 Å, b = 7.5813 Å, c = 7.5813 Å
α = 90.00°, β = 90.00°, γ = 90.00°
Closest atoms and distances in Å follow each position.
Space group F-43m (No. 216)
Unique sites:
La: 0.0000 0.0000 0.0000  12 Si 3.16, 4 Al 3.28
Al: 0.2500 0.2500 0.2500  12 Si 3.13, 4 La 3.28
Si: 0.1197 0.1197 0.6197  6 Si 2.57-2.79

Total moment: 0.0 μB/cell
Calculated volume: 435.7 Å³ per cell
E_form (uncorrected): -59 meV/atom

First-principles (PBE-GGA) data for crystalline La3Al4Si6 at its relaxed geometry, as listed in the Alexandria database.

a = 4.2023 Å, b = 4.2023 Å, c = 18.4622 Å
α = 90.00°, β = 90.00°, γ = 120.00°
Closest atoms and distances in Å follow each position.
Space group P-3m1 (No. 164)
Unique sites:
La: 0.0000 0.0000 0.0000  6 Si 3.09
La: 0.0000 0.0000 0.3867  9 Si 3.14-3.24
Al: 0.3333 0.6667 0.2429  4 Si 2.52-2.57
Al: 0.3333 0.6667 0.8593  4 Si 2.52-2.55
Si: 0.3333 0.6667 0.1037  4 Al 2.52-2.57
Si: 0.3333 0.6667 0.4972  3 Si 2.43
Si: 0.3333 0.6667 0.7212  4 Al 2.52-2.55

Total moment: 0.0 μB/cell
Calculated volume: 282.4 Å³ per cell
E_form (uncorrected): -483 meV/atom

First-principles (PBE-GGA) data for crystalline LaAlSi at its relaxed geometry, as listed in the Alexandria database.

a = 3.2589 Å, b = 3.2589 Å, c = 7.3543 Å
α = 90.00°, β = 90.00°, γ = 120.00°
Closest atoms and distances in Å follow each position.
Space group P3m1 (No. 156)
Unique sites:
La: 0.0000 0.0000 0.0000  3 Si 3.23, 6 La 3.26, 3 Al 3.39
Al: 0.3333 0.6667 0.6163  3 Si 2.68
Si: 0.6667 0.3333 0.3563  3 Al 2.68

Total moment: 0.0 μB/cell
Calculated volume: 67.6 Å³ per cell
E_form (uncorrected): 91 meV/atom

First-principles (PBE-GGA) data for crystalline LaAl3Si at its relaxed geometry, as listed in the Alexandria database.

a = 4.8746 Å, b = 4.8746 Å, c = 4.8746 Å
α = 90.00°, β = 90.00°, γ = 90.00°
Closest atoms and distances in Å follow each position.
Space group Pm-3m (No. 221)
Unique sites:
La: 0.0000 0.0000 0.0000  12 Al 3.45
Al: 0.0000 0.5000 0.5000  2 Si 2.44
Si: 0.5000 0.5000 0.5000  6 Al 2.44

Total moment: 0.0 μB/cell
Calculated volume: 115.8 Å³ per cell
E_form (uncorrected): 136 meV/atom
E above lowest polymorph: 514 meV per atom

First-principles (PBE-GGA) data for crystalline LaAl2Si at its relaxed geometry, as listed in the Alexandria database.

a = 3.8434 Å, b = 4.5423 Å, c = 9.9947 Å
α = 90.00°, β = 90.00°, γ = 90.00°
Closest atoms and distances in Å follow each position.
Space group Immm (No. 71)
Unique sites:
La: 0.0000 0.0000 0.0000  4 Si 2.98, 4 Al 3.21
Al: 0.0000 0.5000 0.2272  2 Si 2.98, 4 Al 3.01, 2 La 3.21
Si: 0.0000 0.0000 0.5000  4 Al 2.98, 4 La 2.98

Total moment: 0.0 μB/cell
Calculated volume: 174.5 Å³ per cell
E_form (uncorrected): -188 meV/atom

First-principles (PBE-GGA) data for crystalline La3AlSi2 at its relaxed geometry, as listed in the Alexandria database.

a = 12.2287 Å, b = 4.2750 Å, c = 12.2465 Å
α = 90.00°, β = 90.00°, γ = 90.00°
Closest atoms and distances in Å follow each position.
Space group Pnma (No. 62)
Unique sites:
La: 0.0630 0.2500 0.1143  5 Si 3.13-3.34, 1 Al 3.21
La: 0.1209 0.7500 0.5611  5 Si 3.20-3.27, 3 Al 3.21-3.24
La: 0.1952 0.2500 0.7891  4 Si 3.09-3.31, 2 Al 3.13
Al: 0.1341 0.2500 0.3666  3 Si 2.53-2.54
Si: 0.0356 0.7500 0.3140  2 Al 2.54
Si: 0.1934 0.7500 0.9809  1 Al 2.53

Total moment: 1.0 μB/cell
Calculated volume: 640.2 Å³ per cell
E_form (uncorrected): -619 meV/atom

First-principles (PBE-GGA) data for crystalline LaAl2Si at its relaxed geometry, as listed in the Alexandria database.

a = 3.9847 Å, b = 4.2318 Å, c = 10.6428 Å
α = 90.00°, β = 90.00°, γ = 90.00°
Closest atoms and distances in Å follow each position.
Space group Imm2 (No. 44)
Unique sites:
La: 0.0000 0.0000 0.0000  8 Al 3.16-3.52, 2 Si 3.17
Al: 0.0000 0.0000 0.6163  2 Si 2.57, 2 Al 2.69
Al: 0.0000 0.5000 0.7730  2 Al 2.69, 4 Si 2.91
Si: 0.0000 0.5000 0.2684  2 Al 2.57

Total moment: 0.0 μB/cell
Calculated volume: 179.5 Å³ per cell
E_form (uncorrected): -270 meV/atom

First-principles (PBE-GGA) data for crystalline LaAl2Si at its relaxed geometry, as listed in the Alexandria database.

a = 4.6883 Å, b = 4.6883 Å, c = 18.0639 Å
α = 90.00°, β = 90.00°, γ = 90.00°
Closest atoms and distances in Å follow each position.
Space group I-42d (No. 122)
Unique sites:
La: 0.0000 0.0000 0.0000  4 Al 3.21, 4 Si 3.32
Al: 0.0825 0.2500 0.6250  2 Al 2.47, 2 Si 2.57
Si: 0.0000 0.0000 0.5000  4 Al 2.57

Total moment: 0.0 μB/cell
Calculated volume: 397.0 Å³ per cell
E_form (uncorrected): -125 meV/atom

First-principles (PBE-GGA) data for crystalline LaAlSi at its relaxed geometry, as listed in the Alexandria database.

a = 4.3216 Å, b = 4.3216 Å, c = 14.6794 Å
α = 90.00°, β = 90.00°, γ = 90.00°
Closest atoms and distances in Å follow each position.
Space group I4_1md (No. 109)
Unique sites:
La: 0.0000 0.0000 0.0000  6 Si 3.26-3.29, 6 Al 3.26-3.29
Al: 0.0000 0.0000 0.5834  3 Si 2.45-2.48
Si: 0.0000 0.0000 0.4166  3 Al 2.45-2.48

Total moment: 0.0 μB/cell
Calculated volume: 274.2 Å³ per cell
E_form (uncorrected): -686 meV/atom

First-principles (PBE-GGA) data for crystalline La3Al4Si2 at its relaxed geometry, as listed in the Alexandria database.

a = 11.5745 Å, b = 4.3096 Å, c = 8.6890 Å
α = 90.00°, β = 99.77°, γ = 90.00°
Closest atoms and distances in Å follow each position.
Space group C2/m (No. 12)
Unique sites:
La: 0.0000 0.0000 0.0000  8 Al 3.27-3.35, 4 Si 3.33
La: 0.1679 0.5000 0.6636  8 Al 3.29-3.41, 4 Si 3.30-3.36
Al: 0.0518 0.0000 0.3824  2 Si 2.48, 1 Al 2.54
Al: 0.2249 0.5000 0.0621  1 Si 2.47, 2 Al 2.52
Si: 0.1115 0.5000 0.2783  3 Al 2.47-2.48

Total moment: 0.0 μB/cell
Calculated volume: 427.1 Å³ per cell
E_form (uncorrected): -610 meV/atom

First-principles (PBE-GGA) data for crystalline LaAl2Si at its relaxed geometry, as listed in the Alexandria database.

a = 6.9423 Å, b = 6.9423 Å, c = 6.9423 Å
α = 90.00°, β = 90.00°, γ = 90.00°
Closest atoms and distances in Å follow each position.
Space group F-43m (No. 216)
Unique sites:
La: 0.0000 0.0000 0.0000  4 Si 3.01, 4 Al 3.01
Al: 0.0000 0.0000 0.5000  4 Al 3.01, 4 Si 3.01
Al: 0.2500 0.2500 0.7500  4 La 3.01, 4 Al 3.01
Si: 0.2500 0.2500 0.2500  4 La 3.01, 4 Al 3.01

Total moment: 0.0 μB/cell
Calculated volume: 334.6 Å³ per cell
E_form (uncorrected): -68 meV/atom

First-principles (PBE-GGA) data for crystalline LaAl2Si at its relaxed geometry, as listed in the Alexandria database.

a = 3.3770 Å, b = 3.6468 Å, c = 6.8011 Å
α = 90.00°, β = 90.00°, γ = 90.00°
Closest atoms and distances in Å follow each position.
Space group Pmm2 (No. 25)
Unique sites:
La: 0.0000 0.0000 0.0000  4 Si 3.24, 6 Al 3.25-3.55, 2 La 3.38
Al: 0.0000 0.0000 0.4778  4 Si 2.75, 4 Al 2.84
Al: 0.5000 0.5000 0.6790  1 Si 2.54, 4 Al 2.84
Si: 0.5000 0.5000 0.3050  5 Al 2.54-2.75

Total moment: 0.0 μB/cell
Calculated volume: 83.8 Å³ per cell
E_form (uncorrected): -254 meV/atom

First-principles (PBE-GGA) data for crystalline La8Al2Si at its relaxed geometry, as listed in the Alexandria database.

a = 19.0329 Å, b = 5.2790 Å, c = 7.1083 Å
α = 90.00°, β = 107.93°, γ = 90.00°
Closest atoms and distances in Å follow each position.
Space group C2/m (No. 12)
Unique sites:
La: 0.0041 0.0000 0.2699  2 Si 3.12, 3 La 3.32, 1 Al 3.36
La: 0.0906 0.5000 0.9552  1 Si 3.16, 3 La 3.32-3.45, 2 Al 3.34
La: 0.1557 0.5000 0.4653  1 Si 3.05, 3 Al 3.25-3.34
La: 0.2111 0.0000 0.7971  3 Al 3.29-3.46, 4 La 3.48-3.64
Al: 0.1734 0.0000 0.2182  9 La 3.25-3.46
Si: 0.0000 0.5000 0.5000  8 La 3.05-3.16

Total moment: 0.0 μB/cell
Calculated volume: 679.5 Å³ per cell
E_form (uncorrected): -256 meV/atom

First-principles (PBE-GGA) data for crystalline La3Al2Si4 at its relaxed geometry, as listed in the Alexandria database.

a = 11.5164 Å, b = 4.2187 Å, c = 8.7876 Å
α = 90.00°, β = 110.92°, γ = 90.00°
Closest atoms and distances in Å follow each position.
Space group C2/m (No. 12)
Unique sites:
La: 0.0000 0.0000 0.0000  8 Si 3.25-3.36, 4 Al 3.56
La: 0.1152 0.5000 0.6896  7 Si 3.00-3.24, 2 Al 3.19
Al: 0.1807 0.5000 0.3237  4 Si 2.48-2.75
Si: 0.1053 0.0000 0.4047  3 Al 2.48-2.75
Si: 0.2258 0.5000 0.0549  2 Si 2.46, 1 Al 2.59

Total moment: 0.0 μB/cell
Calculated volume: 398.8 Å³ per cell
E_form (uncorrected): -606 meV/atom
E above lowest polymorph: 46 meV per atom

First-principles (PBE-GGA) data for crystalline LaSmAlSi at its relaxed geometry, as listed in the Alexandria database.

a = 4.0876 Å, b = 4.4887 Å, c = 11.4007 Å
α = 90.00°, β = 90.00°, γ = 90.00°
Closest atoms and distances in Å follow each position.
Space group Amm2 (No. 38)
Unique sites:
La: 0.0000 0.0000 0.0000  4 Al 3.17, 3 Si 3.22-3.34
Sm: 0.5000 0.0000 0.2848  4 Si 3.13, 3 Al 3.23-3.38
Al: 0.5000 0.0000 0.5815  2 Si 2.56
Si: 0.0000 0.0000 0.7173  2 Al 2.56

Total moment: 0.2 μB/cell
Calculated volume: 209.2 Å³ per cell
E_form (uncorrected): -601 meV/atom